(1)
The following is a DFT calculation (GGA-PBE) of a relaxed structure of Si2AgPt.

Properties
Volume, Å³/atom: 15.61
Calculated total energy, eV/cell: -19.2

Cell lengths 4.1203, 4.1203, 3.6770 Å; angles 90.00, 90.00, 90.00 degrees
Space group P4/mmm (No. 123)
Unique sites:
Si: 0.0000 0.5000 0.0000
Ag: 0.0000 0.0000 0.5000
Pt: 0.5000 0.5000 0.5000

(2)
The following is a DFT calculation (GGA-PBE) of a relaxed structure of Y2TaAu.

Properties
Volume, Å³/atom: 24.38
Formation energy, eV per atom: 0.5411
Calculated total energy, eV/cell: -103.6

Cell lengths 4.3594, 4.3594, 20.5277 Å; angles 90.00, 90.00, 90.00 degrees
Space group I-42d (No. 122)
Unique sites:
Y: 0.2473 0.2500 0.1250
Ta: 0.0000 0.0000 0.5000
Au: 0.0000 0.0000 0.0000

(3)
The following is a DFT calculation (GGA-PBE) of a relaxed structure of YHoTiN3.

Properties
Volume, Å³/atom: 16.13
Calculated total energy, eV/cell: -104.3

Cell lengths 6.9829, 3.5140, 7.9737 Å; angles 90.00, 98.30, 90.00 degrees
Space group P2_1/m (No. 11)
Unique sites:
Y: 0.1624 0.2500 0.1478
Ho: 0.3683 0.7500 0.8420
Ti: 0.0928 0.2500 0.6042
N: 0.0972 0.2500 0.8516
N: 0.1769 0.7500 0.5403
N: 0.3952 0.7500 0.1323

(4)
The following is a DFT calculation (GGA-PBE) of a relaxed structure of CaLa2RhO6.

Properties
Volume, Å³/atom: 13.98
Calculated total energy, eV/cell: -149.0

Cell lengths 5.6972, 5.9803, 9.9418 Å; angles 90.00, 124.36, 90.00 degrees
Space group P2_1/c (No. 14)
Unique sites:
Ca: 0.0000 0.0000 0.0000
La: 0.2659 0.0596 0.7484
Rh: 0.5000 0.0000 0.5000
O: 0.1533 0.0464 0.2671
O: 0.2657 0.6846 0.0552
O: 0.3866 0.2146 0.0642

(5)
The following is a DFT calculation (GGA-PBE) of a relaxed structure of TlGaSn4.

Properties
Volume, Å³/atom: 27.15
Formation energy, eV per atom: 0.0566
Calculated total energy, eV/cell: -21.1

Cell lengths 5.4857, 5.4857, 6.2515 Å; angles 90.00, 90.00, 120.00 degrees
Space group P6/mmm (No. 191)
Unique sites:
Tl: 0.0000 0.0000 0.0000
Ga: 0.0000 0.0000 0.5000
Sn: 0.3333 0.6667 0.2561

(6)
The following is a DFT calculation (GGA-PBE) of a relaxed structure of GaAs2SeBr.

Properties
Volume, Å³/atom: 25.17
Calculated total energy, eV/cell: -14.6

Cell lengths 5.0797, 5.0797, 4.8769 Å; angles 90.00, 90.00, 90.00 degrees
Space group P4/mmm (No. 123)
Unique sites:
Ga: 0.0000 0.0000 0.0000
As: 0.0000 0.5000 0.0000
Se: 0.0000 0.0000 0.5000
Br: 0.5000 0.5000 0.5000